No. 1
A plane-wave DFT calculation with PBE was carried out for a relaxed SmEr2UAs4 crystal.

N(E_F) ... 8.150 states/eV per cell
E_form ... -1.31 eV/atom
Space-group type ... P2/m, No. 10
VASP energy ... -6.781 eV/atom

Cell lengths 4.1008, 7.1256, 7.1205 Å; angles 109.20, 90.00, 90.00 degrees
Atoms (fractional coordinates):
Sm 0.5000 0.5000 0.0000
Er 0.5000 0.0000 0.5000
Er 0.0000 0.5000 0.5000
U 0.0000 0.0000 0.0000
As 0.5000 0.2467 0.2526
As 0.5000 0.7533 0.7474
As 0.0000 0.2420 0.7464
As 0.0000 0.7580 0.2536

No. 2
A plane-wave DFT calculation with PBE was carried out for a relaxed SmErU2As4 crystal.

N(E_F) ... 7.428 states/eV per cell
E_form ... -1.13 eV/atom
Space-group type ... P2/m, No. 10
VASP energy ... -7.434 eV/atom

Cell lengths 4.0817, 7.0724, 7.2219 Å; angles 109.04, 90.00, 90.00 degrees
Atoms (fractional coordinates):
Sm 0.0000 0.0000 0.0000
Er 0.5000 0.5000 0.0000
U 0.5000 0.0000 0.5000
U 0.0000 0.5000 0.5000
As 0.5000 0.2558 0.2553
As 0.5000 0.7442 0.7447
As 0.0000 0.2533 0.7478
As 0.0000 0.7467 0.2522

No. 3
A plane-wave DFT calculation with PBE was carried out for a relaxed SmY2ErAs4 crystal.

N(E_F) ... 0.958 states/eV per cell
E_form ... -1.54 eV/atom
Space-group type ... P2/m, No. 10
VASP energy ... -6.638 eV/atom

Cell lengths 4.1393, 7.1638, 7.1640 Å; angles 70.53, 90.00, 90.00 degrees
Atoms (fractional coordinates):
Sm 0.5000 0.5000 0.0000
Y 0.0000 0.0000 0.0000
Y 0.5000 0.0000 0.5000
Er 0.0000 0.5000 0.5000
As 0.0000 0.7525 0.7454
As 0.0000 0.2475 0.2546
As 0.5000 0.7498 0.2537
As 0.5000 0.2502 0.7463

No. 4
A plane-wave DFT calculation with PBE was carried out for a relaxed SmY3Er2As6 crystal.

N(E_F) ... 1.837 states/eV per cell
E_form ... -1.54 eV/atom
Space-group type ... C2/m, No. 12
VASP energy ... -6.631 eV/atom

Cell lengths 7.1458, 7.1458, 7.1462 Å; angles 99.59, 99.59, 119.99 degrees
Atoms (fractional coordinates):
Sm 0.0000 0.0000 0.0000
Y 0.1655 0.8345 0.5000
Y 0.8345 0.1655 0.5000
Y 0.5000 0.5000 0.5000
Er 0.3330 0.6670 0.0000
Er 0.6670 0.3330 0.0000
As 0.9166 0.5788 0.7500
As 0.7452 0.7452 0.2492
As 0.0834 0.4212 0.2500
As 0.5788 0.9166 0.7500
As 0.2548 0.2548 0.7508
As 0.4212 0.0834 0.2500